Entry 1:
A plane-wave DFT calculation with GGA-PBEsol was carried out for a relaxed HfBH crystal.

Cell and atoms, written as CIF:
```
data_HfBH
_symmetry_space_group_name_H-M 'R -3 m'
_symmetry_Int_Tables_number 166
_symmetry_space_group_name_Hall '-R 3 2"'
_cell_length_a 3.1639
_cell_length_b 3.1639
_cell_length_c 18.8690
_cell_angle_alpha 90.00
_cell_angle_beta 90.00
_cell_angle_gamma 120.00
loop_
_atom_site_label
_atom_site_fract_x
_atom_site_fract_y
_atom_site_fract_z
_atom_site_occupancy
Hf1 0.0000 0.0000 0.0891 1
B1 0.0000 0.0000 0.3352 1
H1 0.0000 0.0000 0.1963 1
```


Entry 2:
A plane-wave DFT calculation with GGA-PBEsol was carried out for a relaxed Hf3BH crystal.

Cell and atoms, written as CIF:
```
data_Hf3BH
_symmetry_space_group_name_H-M 'P m -3 m'
_symmetry_Int_Tables_number 221
_symmetry_space_group_name_Hall '-P 4 2 3'
_cell_length_a 4.493
_cell_length_b 4.493
_cell_length_c 4.493
_cell_angle_alpha 90.00
_cell_angle_beta 90.00
_cell_angle_gamma 90.00
loop_
_atom_site_label
_atom_site_fract_x
_atom_site_fract_y
_atom_site_fract_z
_atom_site_occupancy
Hf1 0.000 0.000 0.500 1
B1 0.000 0.000 0.000 1
H1 0.500 0.500 0.500 1
```


Entry 3:
A plane-wave DFT calculation with GGA-PBEsol was carried out for a relaxed NbHgB2H crystal.

Cell and atoms, written as CIF:
```
data_NbHgB2H
_symmetry_space_group_name_H-M 'P 4/m m m'
_symmetry_Int_Tables_number 123
_symmetry_space_group_name_Hall '-P 4 2'
_cell_length_a 3.972
_cell_length_b 3.972
_cell_length_c 3.444
_cell_angle_alpha 90.00
_cell_angle_beta 90.00
_cell_angle_gamma 90.00
loop_
_atom_site_label
_atom_site_fract_x
_atom_site_fract_y
_atom_site_fract_z
_atom_site_occupancy
Nb1 0.000 0.000 0.000 1
Hg1 0.500 0.500 0.000 1
B1 0.000 0.500 0.500 1
H1 0.000 0.000 0.500 1
```


Entry 4:
A plane-wave DFT calculation with GGA-PBEsol was carried out for a relaxed HgBHS crystal.

Cell and atoms, written as CIF:
```
data_HgBHS
_symmetry_space_group_name_H-M 'R 3 m'
_symmetry_Int_Tables_number 160
_symmetry_space_group_name_Hall 'R 3 -2"'
_cell_length_a 3.0561
_cell_length_b 3.0561
_cell_length_c 23.2955
_cell_angle_alpha 90.00
_cell_angle_beta 90.00
_cell_angle_gamma 120.00
loop_
_atom_site_label
_atom_site_fract_x
_atom_site_fract_y
_atom_site_fract_z
_atom_site_occupancy
Hg1 0.0000 0.0000 0.0000 1
B1 0.0000 0.0000 0.4937 1
H1 0.0000 0.0000 0.4417 1
S1 0.0000 0.0000 0.1945 1
```


Entry 5:
A plane-wave DFT calculation with GGA-PBEsol was carried out for a relaxed Hg2BHSe crystal.

Cell and atoms, written as CIF:
```
data_Hg2BHSe
_symmetry_space_group_name_H-M 'P 4/m m m'
_symmetry_Int_Tables_number 123
_symmetry_space_group_name_Hall '-P 4 2'
_cell_length_a 4.986
_cell_length_b 4.986
_cell_length_c 3.095
_cell_angle_alpha 90.00
_cell_angle_beta 90.00
_cell_angle_gamma 90.00
loop_
_atom_site_label
_atom_site_fract_x
_atom_site_fract_y
_atom_site_fract_z
_atom_site_occupancy
Hg1 0.000 0.500 0.000 1
B1 0.000 0.000 0.000 1
H1 0.000 0.000 0.500 1
Se1 0.500 0.500 0.500 1
```


Entry 6:
# GGA-PBEsol BH3I, relaxed
data_BH3I
_symmetry_space_group_name_H-M 'P m -3 m'
_symmetry_Int_Tables_number 221
_symmetry_space_group_name_Hall '-P 4 2 3'
_cell_length_a 3.992
_cell_length_b 3.992
_cell_length_c 3.992
_cell_angle_alpha 90.00
_cell_angle_beta 90.00
_cell_angle_gamma 90.00
loop_
_atom_site_label
_atom_site_fract_x
_atom_site_fract_y
_atom_site_fract_z
_atom_site_occupancy
B1 0.000 0.000 0.000 1
H1 0.000 0.500 0.500 1
I1 0.500 0.500 0.500 1
# ΔE to the lowest computed polymorph, eV/atom: 0.5455


no.,E (eV per cell)
1,-140.02
2,-38.50
3,-24.00
4,-48.32
5,-12.22
6,-10.16